# 1
Below is a relaxed Ca3MgIn crystal, with properties calculated at the PBE level.

Lattice parameters (Å, degrees): 5.3100 6.9658 8.9398 95.82 90.00 90.02
With the nearest neighbours (Å) after each atom.
Space group P1 (No. 1)
Unique sites:
Ca: 0.0000 0.0000 0.0000 x1  3 In 3.28-3.56, 1 Mg 3.30, 2 Ca 3.62
Ca: 0.0000 0.2698 0.4221 x1  1 In 3.33, 1 Mg 3.53, 4 Ca 3.60-3.61
Ca: 0.4998 0.4586 0.1221 x1  3 In 3.24-3.49, 1 Ca 3.60
Ca: 0.4996 0.9597 0.2698 x1  2 In 3.21, 1 Ca 3.52
Ca: 0.5009 0.1742 0.7296 x1  1 In 3.25, 4 Mg 3.45-3.53
Ca: 0.5005 0.6077 0.5265 x1  3 In 3.15-3.43, 2 Mg 3.30-3.31, 1 Ca 3.52
Mg: 0.0017 0.4978 0.8251 x1  2 In 3.22-3.24, 1 Mg 3.24, 2 Ca 3.53
Mg: 0.0016 0.8689 0.6342 x1  1 In 3.04, 1 Mg 3.24, 3 Ca 3.30-3.31
In: 0.5002 0.7619 0.8707 x1  5 Ca 3.15-3.28, 4 Mg 3.22-3.53
In: 0.9995 0.7087 0.3054 x1  1 Mg 3.04, 3 Ca 3.21-3.33

## Properties
**Energy above the lowest structure with this stoichiometry**: 74 meV per atom
**Calculated formation energy**: -0.175 eV per atom
**Final energy**: -2.24 eV/atom

***

# 2
Below is a relaxed Ca2MgIn crystal, with properties calculated at the PBE level.

Lattice parameters (Å, degrees): 7.6827 7.7011 3.9651 90.00 90.00 90.00
With the nearest neighbours (Å) after each atom.
Space group Cmmm (No. 65)
Unique sites:
Ca: 0.2500 0.2500 0.0000 x4  4 In 3.37, 4 Mg 3.37
Mg: 0.0000 0.0000 0.5000 x2  8 Ca 3.37
In: 0.0000 0.5000 0.5000 x2  8 Ca 3.37

## Properties
**Energy above the lowest structure with this stoichiometry**: 13 meV per atom
**Calculated formation energy**: -0.302 eV per atom
**Final energy**: -2.39 eV/atom

***

# 3
Below is a relaxed CaMgIn3 crystal, with properties calculated at the PBE level.

Lattice parameters (Å, degrees): 5.4107 5.4107 5.4107 90.00 90.00 90.00
With the nearest neighbours (Å) after each atom.
Space group Pm-3m (No. 221)
Unique sites:
Ca: 0.0000 0.0000 0.0000 x1  12 In 3.83
Mg: 0.5000 0.5000 0.5000 x1  6 In 2.71
In: 0.0000 0.5000 0.5000 x3  2 Mg 2.71

## Properties
**Calculated formation energy**: 0.106 eV per atom
**Final energy**: -2.26 eV/atom

***

# 4
Below is a relaxed Ca2MgIn2 crystal, with properties calculated at the PBE level.

Lattice parameters (Å, degrees): 11.9164 4.8799 11.2187 90.00 115.84 90.00
With the nearest neighbours (Å) after each atom.
Space group C2/m (No. 12)
Unique sites:
Ca: 0.0079 0.0000 0.3325 x4  6 In 3.30-3.53, 4 Mg 3.43-3.57
Ca: 0.1779 0.0000 0.0963 x4  6 In 3.30-3.53
Mg: 0.2211 0.5000 0.3610 x4  4 In 2.89-3.09
In: 0.0241 0.5000 0.8781 x4  1 Mg 2.98, 1 In 3.03, 2 Ca 3.30
In: 0.1351 0.5000 0.5837 x4  3 Mg 2.89-3.09, 1 In 2.94

## Properties
**Calculated formation energy**: -0.348 eV per atom
**Final energy**: -2.56 eV/atom

***

# 5
Below is a relaxed Ca2MgIn2 crystal, with properties calculated at the PBE level.

Lattice parameters (Å, degrees): 4.2360 4.2360 18.2475 90.00 90.00 90.00
With the nearest neighbours (Å) after each atom.
Space group I4/mmm (No. 139)
Unique sites:
Ca: 0.0000 0.0000 0.1028 x4  4 In 3.42, 4 Mg 3.53, 1 Ca 3.75
Mg: 0.0000 0.0000 0.5000 x2  8 Ca 3.53
In: 0.0000 0.5000 0.2500 x4  4 In 3.00

## Properties
**Calculated formation energy**: -0.055 eV per atom
**Final energy**: -2.27 eV/atom

***

# 6
Below is a relaxed CaMg2In crystal, with properties calculated at the PBE level.

Lattice parameters (Å, degrees): 3.6952 3.6952 7.7084 90.00 90.00 90.00
With the nearest neighbours (Å) after each atom.
Space group P4mm (No. 99)
Unique sites:
Ca: 0.0000 0.0000 0.0000 x1  4 In 3.36, 5 Mg 3.46-3.75, 4 Ca 3.70
Mg: 0.0000 0.0000 0.4861 x1  4 In 3.08, 4 Mg 3.11
Mg: 0.5000 0.5000 0.7048 x1  4 Mg 3.11, 1 In 3.32, 4 Ca 3.46
In: 0.5000 0.5000 0.2736 x1  5 Mg 3.08-3.32, 4 Ca 3.36

## Properties
**Calculated formation energy**: -0.179 eV per atom
**Final energy**: -2.16 eV/atom

***

# 7
Below is a relaxed CaMgIn crystal, with properties calculated at the PBE level.

Lattice parameters (Å, degrees): 7.2499 7.2499 7.2499 90.00 90.00 90.00
With the nearest neighbours (Å) after each atom.
Space group F-43m (No. 216)
Unique sites:
Ca: 0.0000 0.0000 0.0000 x4  4 In 3.14
Mg: 0.0000 0.0000 0.5000 x4  4 In 3.14
In: 0.2500 0.2500 0.2500 x4  4 Mg 3.14, 4 Ca 3.14

## Properties
**Calculated formation energy**: -0.138 eV per atom
**Final energy**: -2.25 eV/atom

***

# 8
Below is a relaxed Ca2MgIn crystal, with properties calculated at the PBE level.

Lattice parameters (Å, degrees): 12.5918 3.8437 5.5405 90.00 115.46 90.00
With the nearest neighbours (Å) after each atom.
Space group Cm (No. 8)
Unique sites:
Ca: 0.0000 0.0000 0.0000 x2  4 In 3.39-3.40, 2 Mg 3.58, 2 Ca 3.66-3.67
Ca: 0.2113 0.0000 0.7072 x2  2 In 3.37, 4 Mg 3.43, 2 Ca 3.66-3.67
Mg: 0.2661 0.5000 0.2611 x2  2 In 2.99
In: 0.4680 0.0000 0.4697 x2  2 Mg 2.99

## Properties
**Energy above the lowest structure with this stoichiometry**: 74 meV per atom
**Calculated formation energy**: -0.241 eV per atom
**Final energy**: -2.33 eV/atom

***

# 9
Below is a relaxed Ca2Mg3In2 crystal, with properties calculated at the PBE level.

Lattice parameters (Å, degrees): 11.2906 4.8498 7.3503 90.00 103.71 90.00
With the nearest neighbours (Å) after each atom.
Space group C2/m (No. 12)
Unique sites:
Ca: 0.1168 0.0000 0.3551 x4  5 In 3.22-3.44, 3 Mg 3.52-3.58
Mg: 0.0000 0.5000 0.0000 x2  2 In 2.89
Mg: 0.1930 0.0000 0.8849 x4  2 In 2.92, 2 Mg 3.06
In: 0.1035 0.5000 0.6758 x4  3 Mg 2.89-2.92, 1 In 3.05, 1 Ca 3.22

## Properties
**Calculated formation energy**: -0.224 eV per atom
**Final energy**: -2.26 eV/atom

***

# 10
Below is a relaxed CaMgIn6 crystal, with properties calculated at the PBE level.

Lattice parameters (Å, degrees): 9.1278 9.5472 4.7451 90.00 90.00 90.00
With the nearest neighbours (Å) after each atom.
Space group Cmmm (No. 65)
Unique sites:
Ca: 0.0000 0.0000 0.0000 x2  12 In 3.30-3.36
Mg: 0.0000 0.5000 0.0000 x2  12 In 3.24-3.37
In: 0.0000 0.2486 0.5000 x4  8 In 3.26-3.35, 2 Ca 3.36, 2 Mg 3.37
In: 0.2417 0.5000 0.5000 x4  2 Mg 3.24, 8 In 3.26-3.37, 2 Ca 3.34
In: 0.2500 0.2500 0.0000 x4  8 In 3.29-3.37, 2 Mg 3.30, 2 Ca 3.30

## Properties
**Energy above the lowest structure with this stoichiometry**: 0 meV per atom
**Calculated formation energy**: -0.159 eV per atom
**Final energy**: -2.66 eV/atom

***

# 11
Below is a relaxed CaMgIn crystal, with properties calculated at the PBE level.

Lattice parameters (Å, degrees): 5.1200 5.1200 3.6006 90.00 90.00 120.00
With the nearest neighbours (Å) after each atom.
Space group P-6m2 (No. 187)
Unique sites:
Ca: 0.0000 0.0000 0.0000 x1  6 In 3.46, 6 Mg 3.46, 2 Ca 3.60
Mg: 0.3333 0.6667 0.5000 x1  3 In 2.96
In: 0.6667 0.3333 0.5000 x1  3 Mg 2.96

## Properties
**Calculated formation energy**: -0.310 eV per atom
**Final energy**: -2.42 eV/atom

***

# 12
Below is a relaxed Ca2MgIn crystal, with properties calculated at the PBE level.

Lattice parameters (Å, degrees): 3.7332 3.7332 31.8747 90.00 90.00 120.00
With the nearest neighbours (Å) after each atom.
Space group R-3m (No. 166, hexagonal axes)
Unique sites:
Ca: 0.0000 0.0000 0.2459 x6  3 In 3.32, 3 Mg 3.52
Mg: 0.0000 0.0000 0.0000 x3  6 Ca 3.52, 6 Mg 3.73
In: 0.0000 0.0000 0.5000 x3  6 Ca 3.32

## Properties
**Energy above the lowest structure with this stoichiometry**: 202 meV per atom
**Calculated formation energy**: -0.114 eV per atom
**Final energy**: -2.20 eV/atom

***

# 13
Below is a relaxed CaMg3In2 crystal, with properties calculated at the PBE level.

Lattice parameters (Å, degrees): 15.2521 4.9345 9.2495 90.00 118.37 90.00
With the nearest neighbours (Å) after each atom.
Space group C2/m (No. 12)
Unique sites:
Ca: 0.1377 0.0000 0.0215 x4  7 In 3.36-3.59, 5 Mg 3.49-3.71
Mg: 0.0555 0.0000 0.3821 x4  3 In 3.03-3.09, 6 Mg 3.16-3.34
Mg: 0.0899 0.5000 0.6974 x4  3 In 2.90-3.05, 3 Mg 2.91-3.16
Mg: 0.2143 0.5000 0.5374 x4  4 Mg 2.91-3.22, 4 In 3.04-3.17
In: 0.0529 0.5000 0.1797 x4  4 Mg 2.90-3.09, 2 In 2.93-3.21
In: 0.2175 0.0000 0.7372 x4  6 Mg 3.03-3.17, 1 In 3.21, 3 Ca 3.36-3.38

## Properties
**Energy above the lowest structure with this stoichiometry**: 10 meV per atom
**Calculated formation energy**: -0.191 eV per atom
**Final energy**: -2.24 eV/atom

***

# 14
Below is a relaxed Ca2MgIn crystal, with properties calculated at the PBE level.

Lattice parameters (Å, degrees): 7.7580 7.7580 7.7580 90.00 90.00 90.00
With the nearest neighbours (Å) after each atom.
Space group Fm-3m (No. 225)
Unique sites:
Ca: 0.2500 0.2500 0.2500 x8  4 In 3.36, 4 Mg 3.36
Mg: 0.0000 0.0000 0.0000 x4  8 Ca 3.36
In: 0.0000 0.0000 0.5000 x4  8 Ca 3.36

## Properties
**Energy above the lowest structure with this stoichiometry**: 0 meV per atom
**Calculated formation energy**: -0.315 eV per atom
**Final energy**: -2.40 eV/atom

***

# 15
Below is a relaxed CaMg2In9 crystal, with properties calculated at the PBE level.

Lattice parameters (Å, degrees): 4.6614 4.6614 14.0679 90.00 90.00 90.00
With the nearest neighbours (Å) after each atom.
Space group P4/mmm (No. 123)
Unique sites:
Ca: 0.0000 0.0000 0.0000 x1  12 In 3.30-3.35
Mg: 0.0000 0.0000 0.3312 x2  12 In 3.24-3.33
In: 0.0000 0.5000 0.1714 x4  2 Mg 3.24, 8 In 3.25-3.35, 2 Ca 3.35
In: 0.0000 0.5000 0.5000 x2  8 In 3.30-3.31, 4 Mg 3.33
In: 0.5000 0.5000 0.0000 x1  4 Ca 3.30, 8 In 3.35
In: 0.5000 0.5000 0.3326 x2  8 In 3.25-3.31, 4 Mg 3.30

## Properties
**Calculated formation energy**: -0.128 eV per atom
**Final energy**: -2.61 eV/atom

***

# 16
Below is a relaxed Ca5Mg2In crystal, with properties calculated at the PBE level.

Lattice parameters (Å, degrees): 7.0675 13.6899 5.4823 90.00 90.00 90.00
With the nearest neighbours (Å) after each atom.
Space group Pbam (No. 55)
Unique sites:
Ca: 0.0000 0.0000 0.0000 x2  4 Mg 3.46, 2 In 3.53, 2 Ca 3.81
Ca: 0.1200 0.2715 0.0000 x4  1 In 3.24, 2 Mg 3.44, 2 Ca 3.58
Ca: 0.1645 0.6059 0.5000 x4  2 In 3.31, 4 Mg 3.45-3.66
Mg: 0.1491 0.8665 0.5000 x4  10 Ca 3.44-3.83
In: 0.0000 0.5000 0.0000 x2  8 Ca 3.24-3.53

## Properties
**Calculated formation energy**: -0.159 eV per atom
**Final energy**: -2.15 eV/atom

***

# 17
Below is a relaxed Ca2Mg3In5 crystal, with properties calculated at the PBE level.

Lattice parameters (Å, degrees): 12.8109 13.0236 6.5052 90.00 90.00 90.00
With the nearest neighbours (Å) after each atom.
Space group Ibam (No. 72)
Unique sites:
Ca: 0.1270 0.2478 0.0000 x8  4 In 3.42-3.51, 4 Mg 3.48-3.57
Mg: 0.0000 0.0000 0.2500 x4  6 In 2.96-3.15, 2 Mg 3.25
Mg: 0.1250 0.3607 0.5000 x8  5 In 2.77-2.95
In: 0.0000 0.5000 0.2500 x4  4 Mg 2.92, 4 In 3.25-3.26
In: 0.1204 0.1483 0.5000 x8  3 Mg 2.77-2.96, 2 In 2.99
In: 0.2457 0.0000 0.2500 x8  3 Mg 2.95-3.15, 5 In 2.99-3.26

## Properties
**Calculated formation energy**: -0.201 eV per atom
**Final energy**: -2.45 eV/atom

***

# 18
Below is a relaxed CaMg3In3 crystal, with properties calculated at the PBE level.

Lattice parameters (Å, degrees): 7.9066 7.9066 7.9066 90.00 90.00 90.00
With the nearest neighbours (Å) after each atom.
Space group Pm-3n (No. 223)
Unique sites:
Ca: 0.0000 0.0000 0.0000 x2  12 In 4.42, 12 Mg 4.42
Mg: 0.0000 0.2500 0.5000 x6  4 In 2.80
In: 0.0000 0.5000 0.2500 x6  4 Mg 2.80

## Properties
**Calculated formation energy**: 0.316 eV per atom
**Final energy**: -1.83 eV/atom

***

# 19
Below is a relaxed Ca2Mg15In2 crystal, with properties calculated at the PBE level.

Lattice parameters (Å, degrees): 10.3415 10.3415 15.3566 90.00 90.00 120.00
With the nearest neighbours (Å) after each atom.
Space group R-3m (No. 166, hexagonal axes)
Unique sites:
Ca: 0.0000 0.0000 0.1684 x6  1 In 3.56, 15 Mg 3.59-3.92
Mg: 0.0000 0.3073 0.5000 x18  8 Mg 3.02-3.18
Mg: 0.0000 0.5000 0.0000 x9  8 Mg 3.02-3.03, 2 In 3.16
Mg: 0.0077 0.5039 0.6553 x18  8 Mg 2.94-3.18, 1 In 3.28
In: 0.0000 0.0000 0.4001 x6  1 In 3.07, 6 Mg 3.16-3.28

## Properties
**Calculated formation energy**: -0.062 eV per atom
**Final energy**: -1.82 eV/atom

***

# 20
Below is a relaxed CaMg5In2 crystal, with properties calculated at the PBE level.

Lattice parameters (Å, degrees): 4.5614 8.6523 10.5870 90.00 90.00 90.00
With the nearest neighbours (Å) after each atom.
Space group Immm (No. 71)
Unique sites:
Ca: 0.0000 0.0000 0.0000 x2  4 In 3.31
Mg: 0.0000 0.1788 0.3483 x8  3 In 2.89-3.04, 4 Mg 3.09-3.21
Mg: 0.0000 0.5000 0.0000 x2  2 In 2.90, 8 Mg 3.19
In: 0.0000 0.5000 0.2737 x4  7 Mg 2.89-3.04

## Properties
**Calculated formation energy**: -0.123 eV per atom
**Final energy**: -2.05 eV/atom

***

no.,theoretical density (kg/m3)
1,2618
2,3104
3,4286
4,3780
5,3389
6,3211
7,3124
8,3008
9,3251
10,6050
11,3640
12,2839
13,3715
14,3119
15,6095
16,2278
17,4450
18,3074
19,2362
20,3110